<P>
The following is a DFT calculation (PBE) of Zr2In2Ge after structural relaxation.

The density of states at the Fermi level is 7.21 states/eV per cell. The value obtained for the volume is 22.6 A^3/atom.

The space group is P4/mbm (No. 127) and the conventional cell measures 7.311, 7.311 and 4.236 Å, with angles of 90.00, 90.00 and 90.00 degrees. The distinct sites, in fractional coordinates, are Zr at (0.171, 0.329, 0.000), In at (0.135, 0.635, 0.500) and Ge at (0.000, 0.000, 0.500).

***

<Q>
The following is a DFT calculation (PBE) of Zr2In2Ge after structural relaxation.

The density of states at the Fermi level is 1.90 states/eV per cell. The value obtained for the volume is 23.3 A^3/atom.

The space group is P4/mbm (No. 127) and the conventional cell measures 7.104, 7.104 and 4.615 Å, with angles of 90.00, 90.00 and 90.00 degrees. The distinct sites, in fractional coordinates, are Zr at (0.160, 0.340, 0.000), In at (0.150, 0.650, 0.500) and Ge at (0.000, 0.000, 0.000).

***

Which structure is the most stable? The one labeled <Q>.

***

<P>
The following is a DFT calculation (PBE) of Ge4Ir3 after structural relaxation.

The density of states at the Fermi level is 44.63 states/eV per cell. The value obtained for the volume is 20.2 A^3/atom.

The space group is Fd-3m (No. 227, origin choice 2) and the conventional cell measures 10.418, 10.418 and 10.418 Å, with angles of 90.00, 90.00 and 90.00 degrees. The distinct sites, in fractional coordinates, are Ge at (0.009, 0.009, 0.241), Ir at (0.000, 0.000, 0.000) and Ir at (0.125, 0.125, 0.625).

***

<Q>
The following is a DFT calculation (PBE) of Ge4Ir3 after structural relaxation.

The density of states at the Fermi level is 6.02 states/eV per cell. The value obtained for the volume is 18.1 A^3/atom.

The space group is C2/m (No. 12) and the conventional cell measures 12.273, 3.672 and 6.149 Å, with angles of 90.00, 114.12 and 90.00 degrees. The distinct sites, in fractional coordinates, are Ge at (0.097, 0.000, 0.291), Ge at (0.157, 0.500, 0.838), Ir at (0.000, 0.500, 0.000) and Ir at (0.246, 0.000, 0.695).

***

Which structure is the most stable? The one labeled <Q>.

***

<P>
The following is a DFT calculation (PBE) of Ge4Ir after structural relaxation.

The density of states at the Fermi level is 3.38 states/eV per cell. The value obtained for the volume is 18.0 A^3/atom.

The space group is P3_121 (No. 152) and the conventional cell measures 6.2872, 6.2872 and 7.8895 Å, with angles of 90.00, 90.00 and 120.00 degrees. The distinct sites, in fractional coordinates, are Ge at (0.0000, 0.0813, 0.1667), Ge at (0.0000, 0.6183, 0.1667), Ge at (0.2211, 0.4843, 0.9481) and Ir at (0.0000, 0.3156, 0.6667).

***

<Q>
The following is a DFT calculation (PBE) of Ge4Ir after structural relaxation.

The density of states at the Fermi level is 14.03 states/eV per cell. The value obtained for the volume is 19.0 A^3/atom.

The space group is C2/c (No. 15) and the conventional cell measures 13.939, 10.233 and 8.908 Å, with angles of 90.00, 116.37 and 90.00 degrees. The distinct sites, in fractional coordinates, are Ge at (0.000, 0.198, 0.250), Ge at (0.027, 0.130, 0.940), Ge at (0.106, 0.442, 0.312), Ge at (0.134, 0.341, 0.069), Ge at (0.178, 0.279, 0.738), Ge at (0.212, 0.013, 0.305), Ge at (0.250, 0.250, 0.500), Ir at (0.000, 0.332, 0.750) and Ir at (0.133, 0.075, 0.508).

***

Which structure is the most stable? The one labeled <P>.

***

<P>
The following is a DFT calculation (PBE) of Ge4Ir after structural relaxation.

The density of states at the Fermi level is 2.61 states/eV per cell. The value obtained for the volume is 22.5 A^3/atom.

The space group is Pm-3m (No. 221) and the conventional cell measures 4.824, 4.824 and 4.824 Å, with angles of 90.00, 90.00 and 90.00 degrees. The distinct sites, in fractional coordinates, are Ge at (0.000, 0.000, 0.000), Ge at (0.000, 0.500, 0.500) and Ir at (0.500, 0.500, 0.500).

***

<Q>
The following is a DFT calculation (PBE) of Ge4Ir after structural relaxation.

The density of states at the Fermi level is 4.03 states/eV per cell. The value obtained for the volume is 18.2 A^3/atom.

The space group is P-42_1c (No. 114) and the conventional cell measures 5.545, 5.545 and 5.917 Å, with angles of 90.00, 90.00 and 90.00 degrees. The distinct sites, in fractional coordinates, are Ge at (0.156, 0.226, 0.363) and Ir at (0.000, 0.000, 0.000).

***

Which structure is the most stable? The one labeled <Q>.

***

<P>
The following is a DFT calculation (PBE) of La3Ge4Ir2 after structural relaxation.

The density of states at the Fermi level is 9.30 states/eV per cell. The value obtained for the volume is 22.5 A^3/atom.

The space group is C2/m (No. 12) and the conventional cell measures 11.570, 4.368 and 8.513 Å, with angles of 90.00, 109.43 and 90.00 degrees. The distinct sites, in fractional coordinates, are La at (0.000, 0.000, 0.000), La at (0.115, 0.500, 0.692), Ge at (0.104, 0.000, 0.394), Ge at (0.211, 0.500, 0.077) and Ir at (0.197, 0.500, 0.364).

***

<Q>
The following is a DFT calculation (PBE) of La3Ge4Ir2 after structural relaxation.

The density of states at the Fermi level is 13.66 states/eV per cell. The value obtained for the volume is 23.1 A^3/atom.

The space group is C2/m (No. 12) and the conventional cell measures 11.560, 4.298 and 8.553 Å, with angles of 90.00, 102.02 and 90.00 degrees. The distinct sites, in fractional coordinates, are La at (0.000, 0.000, 0.000), La at (0.169, 0.500, 0.651), Ge at (0.047, 0.000, 0.378), Ge at (0.236, 0.500, 0.082) and Ir at (0.103, 0.500, 0.273).

***

Which structure is the most stable? The one labeled <Q>.

***

<P>
The following is a DFT calculation (PBE) of LaGeIr3 after structural relaxation.

The density of states at the Fermi level is 1.05 states/eV per cell. The value obtained for the volume is 20.3 A^3/atom.

The space group is Pm-3m (No. 221) and the conventional cell measures 4.663, 4.663 and 4.663 Å, with angles of 90.00, 90.00 and 90.00 degrees. The distinct sites, in fractional coordinates, are La at (0.000, 0.000, 0.000), Ge at (0.500, 0.500, 0.500) and Ir at (0.000, 0.500, 0.500).

***

<Q>
The following is a DFT calculation (PBE) of LaGeIr3 after structural relaxation.

The density of states at the Fermi level is 2.20 states/eV per cell. The value obtained for the volume is 24.5 A^3/atom.

The space group is Pm-3m (No. 221) and the conventional cell measures 4.965, 4.965 and 4.965 Å, with angles of 90.00, 90.00 and 90.00 degrees. The distinct sites, in fractional coordinates, are La at (0.000, 0.000, 0.000), Ge at (0.500, 0.500, 0.500) and Ir at (0.000, 0.000, 0.500).

***

Which structure is the most stable? The one labeled <P>.

***

<P>
The following is a DFT calculation (PBE) of La4GeIr after structural relaxation.

The density of states at the Fermi level is 22.43 states/eV per cell. The value obtained for the volume is 29.4 A^3/atom.

The space group is C2/c (No. 15) and the conventional cell measures 9.026, 14.174 and 6.284 Å, with angles of 90.00, 118.49 and 90.00 degrees. The distinct sites, in fractional coordinates, are La at (0.120, 0.187, 0.078), La at (0.213, 0.433, 0.316), Ge at (0.000, 0.377, 0.750) and Ir at (0.000, 0.003, 0.250).

***

<Q>
The following is a DFT calculation (PBE) of La4GeIr after structural relaxation.

The density of states at the Fermi level is 13.39 states/eV per cell. The value obtained for the volume is 30.6 A^3/atom.

The space group is P2_1/m (No. 11) and the conventional cell measures 6.476, 7.006 and 8.104 Å, with angles of 90.00, 91.38 and 90.00 degrees. The distinct sites, in fractional coordinates, are La at (0.094, 0.003, 0.228), La at (0.363, 0.250, 0.604), La at (0.398, 0.750, 0.902), Ge at (0.192, 0.750, 0.546) and Ir at (0.205, 0.250, 0.933).

***

Which structure is the most stable? The one labeled <Q>.

***

<P>
The following is a DFT calculation (PBE) of LaZn2GeIr after structural relaxation.

The density of states at the Fermi level is 3.86 states/eV per cell. The value obtained for the volume is 25.3 A^3/atom.

The space group is P4/mmm (No. 123) and the conventional cell measures 4.851, 4.851 and 5.382 Å, with angles of 90.00, 90.00 and 90.00 degrees. The distinct sites, in fractional coordinates, are La at (0.000, 0.000, 0.000), Zn at (0.000, 0.500, 0.500), Ge at (0.500, 0.500, 0.000) and Ir at (0.000, 0.000, 0.500).

***

<Q>
The following is a DFT calculation (PBE) of LaZn2GeIr after structural relaxation.

The density of states at the Fermi level is 6.94 states/eV per cell. The value obtained for the volume is 19.3 A^3/atom.

The space group is Imm2 (No. 44) and the conventional cell measures 4.124, 4.277 and 10.927 Å, with angles of 90.00, 90.00 and 90.00 degrees. The distinct sites, in fractional coordinates, are La at (0.000, 0.000, 0.000), Zn at (0.000, 0.000, 0.622), Zn at (0.000, 0.500, 0.253), Ge at (0.000, 0.000, 0.385) and Ir at (0.000, 0.500, 0.755).

***

Which structure is the most stable? The one labeled <Q>.